This record from Alexandria via LeMat-Bulk describes a relaxed structure of Pm7Tm2Th2. The functional is PBE-GGA.

Results
E_tot	-55.14	eV per cell
M_tot	0.00	μB/f.u.
space group	C2/m (12)
density of states at the Fermi level	15.6	states/eV per cell

Cell lengths 6.124, 8.076, 8.076 Å; angles 90.31, 74.55, 74.55 degrees
Element x y z (fractional)
Pm: 0.173 0.587 0.053
Pm: 0.173 0.053 0.587
Th: 0.803 0.427 0.427
Pm: 0.593 0.770 0.770
Tm: 0.500 0.777 0.223
Tm: 0.500 0.223 0.777
Th: 0.197 0.573 0.573
Pm: 0.000 0.000 0.000
Pm: 0.827 0.413 0.947
Pm: 0.827 0.947 0.413
Pm: 0.407 0.230 0.230